[1]
# GGA-PBE ErTlGa, optimized geometry
data_ErTlGa
_chemical_formula_sum 'Er2 Tl2 Ga2'
_cell_length_a 3.491
_cell_length_b 3.491
_cell_length_c 11.906
_cell_angle_alpha 90.00
_cell_angle_beta 90.00
_cell_angle_gamma 90.00
_symmetry_space_group_name_H-M 'I 4 m m'
_symmetry_Int_Tables_number 107
_symmetry_space_group_name_Hall 'I 4 -2'
loop_
_atom_site_label
_atom_site_type_symbol
_atom_site_fract_x
_atom_site_fract_y
_atom_site_fract_z
Er1 Er 0.000 0.000 0.000
Tl1 Tl 0.000 0.000 0.307
Ga1 Ga 0.000 0.000 0.650
# energy relative to the lowest polymorph listed for this composition = 104 meV/atom

[2]
# GGA-PBE Y2Zr, optimized geometry
data_Y2Zr
_chemical_formula_sum 'Y8 Zr4'
_cell_length_a 3.485
_cell_length_b 18.073
_cell_length_c 5.505
_cell_angle_alpha 90.00
_cell_angle_beta 90.00
_cell_angle_gamma 90.00
_symmetry_space_group_name_H-M 'C m c m'
_symmetry_Int_Tables_number 63
_symmetry_space_group_name_Hall '-C 2c 2'
loop_
_atom_site_label
_atom_site_type_symbol
_atom_site_fract_x
_atom_site_fract_y
_atom_site_fract_z
Y1 Y 0.000 0.055 0.250
Y2 Y 0.000 0.275 0.750
Zr1 Zr 0.000 0.388 0.250
# energy relative to the lowest polymorph listed for this composition = 12 meV/atom

[3]
Density functional theory data (GGA-PBE) for a relaxed structure of Er2Ga7Ag12.

Geometry as CIF:
```
data_Er2Ga7Ag12
_chemical_formula_sum 'Er2 Ga7 Ag12'
_cell_length_a 11.8242
_cell_length_b 11.8242
_cell_length_c 3.1804
_cell_angle_alpha 90.00
_cell_angle_beta 90.00
_cell_angle_gamma 120.00
_symmetry_space_group_name_H-M 'P -3'
_symmetry_Int_Tables_number 147
_symmetry_space_group_name_Hall '-P 3'
loop_
_atom_site_label
_atom_site_type_symbol
_atom_site_fract_x
_atom_site_fract_y
_atom_site_fract_z
Er1 Er 0.3333 0.6667 0.2479
Ga1 Ga 0.0000 0.0000 0.5000
Ga2 Ga 0.1367 0.4242 0.7483
Ag1 Ag 0.0762 0.8307 0.2466
Ag2 Ag 0.0779 0.6197 0.7501
```

no.,formation enthalpy at 0 K (eV per atom),total magnetic moment (μB per formula unit)
1,-0.192,0.00
2,0.097,0.00
3,-0.145,0.00